[1]
A relaxed structure of Ac2PmRh3O12. Source: Alexandria, functional PBE-GGA.

```
Ac2PmRh3O12
1.0
3.602 2.080 5.366
-3.602 2.080 5.366
0.000 -4.159 5.366
Ac Pm Rh O
2 1 3 12
Direct
0.113 0.113 0.113
0.887 0.887 0.887
0.500 0.500 0.500
0.000 0.500 0.500
0.500 0.000 0.500
0.500 0.500 0.000
0.058 0.648 0.648
0.228 0.228 0.640
0.228 0.640 0.228
0.352 0.352 0.942
0.352 0.942 0.352
0.360 0.772 0.772
0.640 0.228 0.228
0.648 0.058 0.648
0.648 0.648 0.058
0.772 0.360 0.772
0.772 0.772 0.360
0.942 0.352 0.352
```

M_tot, Bohr magnetons per cell: 5.8
SG: R-3m, No. 166
Uncorrected energy, eV for the cell shown: -125.19

[2]
A relaxed structure of AcPm2RhO8. Source: Alexandria, functional PBE-GGA.

```
AcPm2RhO8
1.0
4.403 0.000 0.000
-0.151 5.474 0.000
-0.009 -0.014 7.239
Ac Pm Rh O
1 2 1 8
Direct
0.000 0.000 0.000
0.499 0.499 0.754
0.501 0.501 0.246
0.000 0.000 0.500
0.040 0.746 0.298
0.041 0.746 0.702
0.416 0.108 0.500
0.485 0.256 0.000
0.515 0.744 0.000
0.584 0.892 0.500
0.959 0.254 0.298
0.960 0.254 0.702
```

M_tot, Bohr magnetons per cell: 0.0
SG: P-1, No. 2
Uncorrected energy, eV for the cell shown: -87.07

[3]
A relaxed structure of AcPmRuO6. Source: Alexandria, functional PBE-GGA.

```
AcPmRuO6
1.0
5.860 0.000 0.000
-2.930 5.074 0.000
0.000 0.000 9.171
Ac Pm Ru O
2 2 2 12
Direct
0.333 0.667 0.250
0.667 0.333 0.750
0.000 0.000 0.000
0.000 0.000 0.500
0.333 0.667 0.750
0.667 0.333 0.250
0.068 0.381 0.631
0.068 0.687 0.869
0.313 0.381 0.869
0.313 0.932 0.631
0.381 0.068 0.131
0.381 0.313 0.369
0.619 0.687 0.631
0.619 0.932 0.869
0.687 0.068 0.369
0.687 0.619 0.131
0.932 0.313 0.131
0.932 0.619 0.369
```

M_tot, Bohr magnetons per cell: 4.1
SG: P-31c, No. 163
Uncorrected energy, eV for the cell shown: -134.87

[4]
A relaxed structure of Ac2PmRuO8. Source: Alexandria, functional PBE-GGA.

```
Ac2PmRuO8
1.0
4.510 0.000 0.000
0.000 7.319 0.000
-0.672 0.000 5.555
Ac Pm Ru O
2 1 1 8
Direct
0.000 0.242 0.000
0.000 0.758 0.000
0.500 0.500 0.500
0.500 0.000 0.500
0.055 0.500 0.252
0.119 0.000 0.345
0.430 0.205 0.725
0.430 0.795 0.725
0.570 0.205 0.275
0.570 0.795 0.275
0.881 0.000 0.655
0.945 0.500 0.748
```

M_tot, Bohr magnetons per cell: 1.0
SG: P2/m, No. 10
Uncorrected energy, eV for the cell shown: -89.01

[5]
A relaxed structure of AcPmSO2. Source: Alexandria, functional PBE-GGA.

```
AcPmSO2
1.0
4.204 0.000 0.000
0.000 4.204 0.000
0.000 0.000 6.454
Ac Pm S O
1 1 1 2
Direct
0.000 0.000 0.000
0.500 0.500 0.363
0.500 0.500 0.792
0.000 0.500 0.221
0.500 0.000 0.221
```

M_tot, Bohr magnetons per cell: 0.0
SG: P4mm, No. 99
Uncorrected energy, eV for the cell shown: -38.16

[6]
A relaxed structure of AcPmS2O. Source: Alexandria, functional PBE-GGA.

```
AcPmS2O
1.0
4.112 0.000 0.000
0.000 4.112 0.000
0.000 0.000 14.447
Ac Pm S O
2 2 4 2
Direct
0.250 0.250 0.093
0.750 0.750 0.907
0.250 0.250 0.620
0.750 0.750 0.380
0.250 0.250 0.408
0.250 0.250 0.797
0.750 0.750 0.203
0.750 0.750 0.592
0.250 0.750 0.000
0.750 0.250 0.000
```

M_tot, Bohr magnetons per cell: 0.0
SG: P4/nmm, No. 129
Uncorrected energy, eV for the cell shown: -69.37

[7]
A relaxed structure of AcPmSbO2. Source: Alexandria, functional PBE-GGA.

```
AcPmSbO2
1.0
-2.038 2.038 7.087
2.038 -2.038 7.087
2.038 2.038 -7.087
Ac Pm Sb O
1 1 1 2
Direct
0.000 0.000 0.000
0.325 0.325 0.000
0.667 0.667 0.000
0.405 0.905 0.500
0.905 0.405 0.500
```

M_tot, Bohr magnetons per cell: 0.0
SG: I4mm, No. 107
Uncorrected energy, eV for the cell shown: -35.96

[8]
A relaxed structure of Ac2PmSb2O2. Source: Alexandria, functional PBE-GGA.

```
Ac2PmSb2O2
1.0
-2.304 2.304 8.564
2.304 -2.304 8.564
2.304 2.304 -8.564
Ac Pm Sb O
2 1 2 2
Direct
0.117 0.117 0.000
0.883 0.883 0.000
0.500 0.500 0.000
0.313 0.313 0.000
0.687 0.687 0.000
0.000 0.500 0.500
0.500 0.000 0.500
```

M_tot, Bohr magnetons per cell: 0.0
SG: I4/mmm, No. 139
Uncorrected energy, eV for the cell shown: -44.64